Record 1
Crystalline TbSnSe3 at its relaxed geometry, computed with PBE.

Geometry as POSCAR:
```
TbSnSe3
1.0
7.087 0.000 0.000
0.000 6.990 0.000
0.000 -3.495 6.054
Se Tb Sn
6 2 2
Cartesian
5.316 1.193 1.958
5.316 4.698 0.054
5.316 4.594 4.042
1.772 2.292 0.054
1.772 5.797 1.958
1.772 2.396 4.042
0.000 0.000 0.000
3.544 0.000 0.000
3.544 3.495 2.018
0.000 3.495 2.018
```

## Properties
N(E_F) in states/eV per atom: 0.51
Calculated density in g cm⁻³: 5.70
Uncorrected formation energy in eV/atom: -0.975
Raw total energy in eV/atom: -4.7927

***

Record 2
Crystalline CoPC at its relaxed geometry, computed with PBE.

Geometry as POSCAR:
```
CoPC
1.0
-2.650 -1.532 0.097
1.512 0.610 2.592
-5.994 10.434 1.040
Co C P
3 3 3
Cartesian
-6.003 7.433 1.751
-2.742 4.773 0.476
-0.620 1.191 1.890
-4.159 7.353 2.504
-0.288 0.501 0.050
-3.548 3.161 1.325
-3.300 5.857 2.355
-5.423 9.439 0.941
-2.689 1.665 1.176
```

## Properties
N(E_F) in states/eV per atom: 0.65
Calculated density in g cm⁻³: 5.18
Raw total energy in eV/atom: -6.7740
Formation energy from the elements in eV/atom: 0.473
Energy relative to the lowest polymorph listed for this composition in meV/atom: 202

***

Record 3
Crystalline La3Nd4Ho2 at its relaxed geometry, computed with PBE.

Geometry as POSCAR:
```
La3Nd4Ho2
1.0
5.880 0.000 0.000
-2.940 5.495 -8.257
0.000 -2.284 13.206
Nd La Ho
4 3 2
Cartesian
2.940 1.511 1.644
2.940 3.715 -4.765
0.000 1.699 3.305
0.000 -0.504 9.714
0.000 0.000 0.000
0.000 3.506 0.132
2.940 -0.296 4.818
0.000 0.964 6.572
2.940 2.247 -1.623
```

## Properties
N(E_F) in states/eV per atom: 1.48
Calculated density in g cm⁻³: 6.96
Raw total energy in eV/atom: -4.6825
Formation energy from the elements in eV/atom: 0.096
Energy relative to the lowest polymorph listed for this composition in meV/atom: 0

***

Record 4
Crystalline Tl2GeAsS4 at its relaxed geometry, computed with PBE.

Geometry as POSCAR:
```
Tl2GeAsS4
1.0
-2.610 -5.328 -3.240
0.670 -3.201 7.583
-2.591 5.022 -0.272
S Ge Tl As
4 1 2 1
Cartesian
-1.140 -3.052 4.860
-2.650 -5.096 0.561
-3.291 -1.906 2.399
-2.011 3.465 -0.083
-2.447 -4.079 2.925
-1.534 0.415 0.963
-3.932 2.238 -1.937
-4.546 -2.224 0.485
```

## Properties
N(E_F) in states/eV per atom: 0.52
Calculated density in g cm⁻³: 5.24
Uncorrected formation energy in eV/atom: -0.221
Raw total energy in eV/atom: -4.0349